No. 1
Material: CaPbO2
Method: DFT, PBE
State: relaxed

Lattice parameters (Å, degrees): 3.5524 3.5524 6.2699 90.00 106.46 120.00
With the nearest neighbours (Å) after each atom.
Sites, in units of the cell vectors:
Ca  0.0000  0.0000  0.0000  6 O 2.43
Pb  0.0000  0.5000  0.5000  6 O 2.64
O  0.5200  0.2601  0.7801  3 Ca 2.43, 3 Pb 2.64
O  0.4800  0.7400  0.2200  3 Ca 2.43, 3 Pb 2.64

raw formation energy = -1.935 eV per atom

No. 2
Material: KAc2SeO6
Method: DFT, PBE
State: relaxed

Lattice parameters (Å, degrees): 5.9575 5.9575 5.9575 63.70 63.70 63.70
With the nearest neighbours (Å) after each atom.
Sites, in units of the cell vectors:
K  0.5000  0.5000  0.5000  6 O 2.60
Ac  0.2330  0.2330  0.2330  6 O 2.49-2.66
Ac  0.7671  0.7671  0.7671  6 O 2.49-2.66
Se  0.0001  0.0001  0.0001  6 O 1.97
O  0.3238  0.1028  0.8206  1 Se 1.97
O  0.1028  0.8206  0.3238  1 Se 1.97
O  0.8973  0.1795  0.6763  1 Se 1.97
O  0.6763  0.8973  0.1795  1 Se 1.97
O  0.8206  0.3238  0.1028  1 Se 1.97
O  0.1795  0.6763  0.8973  1 Se 1.97

raw formation energy = -2.081 eV per atom

No. 3
Material: TmZrCo
Method: DFT, PBE
State: relaxed

Lattice parameters (Å, degrees): 3.2735 3.2735 6.1545 105.42 105.42 90.00
With the nearest neighbours (Å) after each atom.
Sites, in units of the cell vectors:
Tm  0.0202  0.0202  0.0403  4 Co 2.93, 1 Zr 3.21, 4 Tm 3.27
Co  0.6781  0.6781  0.3562  4 Zr 2.71, 4 Tm 2.93
Zr  0.3017  0.3017  0.6034  4 Co 2.71

E_tot = -6.812 eV/atom